# PBE+U U2NiO6, relaxed
data_U2NiO6
_space_group_name_H-M_alt 'P 3 2 1'
_space_group_IT_number 150
_cell_length_a 9.1474
_cell_length_b 9.1474
_cell_length_c 5.0289
_cell_angle_alpha 90.00
_cell_angle_beta 90.00
_cell_angle_gamma 120.00
loop_
_space_group_symop_operation_xyz
'x,y,z'
'-y,x-y,z'
'-x+y,-x,z'
'y,x,-z'
'x-y,-y,-z'
'-x,-x+y,-z'
loop_
_atom_site_label
_atom_site_type_symbol
_atom_site_fract_x
_atom_site_fract_y
_atom_site_fract_z
U1 U 0.0000 0.3120 0.0000
U2 U 0.0000 0.6462 0.5000
Ni1 Ni 0.0000 0.0000 0.5000
Ni2 Ni 0.3333 0.6667 0.0062
O1 O 0.0994 0.8768 0.2766
O2 O 0.1118 0.5444 0.2363
O3 O 0.2200 0.7749 0.7747
# DFT total energy = -8.85 eV per atom